#i
12
Lattice="-1.5645 -7.2551 0.0734 0.5406 -0.1678 -5.0668 5.8641 -1.2578 0.6674" Properties=species:S:1:pos:R:3 comment="YCdB | Alexandria | GGA-PBE | optimized geometry" rho_g_cm3=6.170 spacegroup="Pnma (62)" volume_a3_per_fu=57.1 total_magnetization_mub_per_cell=0.00 crystal_system=orthorhombic pbc="T T T"
Y -0.0411 -5.0583 -1.1194
Y 2.8980 -6.9923 -3.3067
Cd 3.1305 -4.7887 -0.7899
Y 1.9423 -1.6884 -1.0193
B 1.8765 -6.7940 -0.8573
Y 4.8813 -3.6224 -3.2067
B 5.3428 -3.7422 -0.5885
Cd -0.1861 -7.2807 -3.6262
B -0.5026 -4.9385 -3.7376
Cd 1.7097 -3.8920 -3.5362
B 2.9637 -1.8867 -3.4688
Cd 5.0263 -1.4000 -0.6998


#ii
12
Lattice="6.0422 0.0000 0.0000 0.0000 3.4675 0.0000 0.0000 0.0000 11.5691" Properties=species:S:1:pos:R:3 comment="YCdB | Alexandria | GGA-PBE | optimized geometry" rho_g_cm3=5.813 spacegroup="Pnma (62)" volume_a3_per_fu=60.6 total_magnetization_mub_per_cell=0.00 crystal_system=orthorhombic pbc="T T T"
Y 5.0568 0.8669 2.1012
B 0.0938 2.6006 3.9753
Cd 4.9160 0.8669 5.2684
Y 0.9854 2.6006 9.4678
B 3.1150 2.6006 1.8092
Y 4.0066 2.6006 7.8858
B 5.9484 0.8669 7.5938
Cd 4.1474 2.6006 11.0529
Cd 1.1263 2.6006 6.3007
Y 2.0357 0.8669 3.6833
B 2.9273 0.8669 9.7598
Cd 1.8949 0.8669 0.5162


What are the relative energies? In eV/atom: #i 0.000; #ii 0.234.


#i
6
Lattice="-2.2881 2.9201 -1.1931 1.0606 -1.6324 -4.6542 -5.5767 -2.3440 -1.5203" Properties=species:S:1:pos:R:3 comment="YCdB | Alexandria | GGA-PBE | optimized geometry" rho_g_cm3=6.201 spacegroup="P-1 (2)" volume_a3_per_fu=56.8 total_magnetization_mub_per_cell=0.00 crystal_system=triclinic pbc="T T T"
B -1.7809 0.5947 -1.8161
Y -6.2776 -1.5878 -5.8808
Cd -4.9400 -1.9973 -2.9324
B -0.6476 -1.7134 -4.9395
Cd -3.0649 -1.4648 -5.3442
Y -4.0159 1.0454 -3.5885


#ii
6
Lattice="-1.3478 5.0851 3.2061 -0.7086 -3.0965 2.2501 5.2959 -3.0232 0.8750" Properties=species:S:1:pos:R:3 comment="YCdB | Alexandria | GGA-PBE | optimized geometry" rho_g_cm3=5.987 spacegroup="Imm2 (44)" volume_a3_per_fu=58.8 total_magnetization_mub_per_cell=0.00 crystal_system=orthorhombic pbc="T T T"
Cd 1.2387 0.8161 3.2252
Y 2.0981 -1.1803 0.7479
Cd -0.5727 -1.4936 2.8431
B 3.4039 1.2232 4.4673
B 3.5502 -3.0425 2.0099
Y 3.3318 -1.4349 4.1539


#iii
6
Lattice="-3.3073 1.4456 -2.3654 1.6506 -1.9315 -3.4883 -3.2709 -5.2549 1.3619" Properties=species:S:1:pos:R:3 comment="YCdB | Alexandria | GGA-PBE | optimized geometry" rho_g_cm3=5.969 spacegroup="P4/nmm (129)" volume_a3_per_fu=59.0 total_magnetization_mub_per_cell=0.00 crystal_system=tetragonal pbc="T T T"
B -2.4638 -2.8704 -2.2459
B -1.6355 -2.6274 0.6809
Cd -2.5645 -0.7406 -0.8035
Y -4.1555 -3.2965 -0.1410
Cd -1.5347 -4.7573 -0.7615
Y 0.0562 -2.2013 -1.4239


What are the relative energies? In eV/atom: #i 0.000; #ii 0.037; #iii 0.326.


#i
6
Lattice="4.3720 -0.0004 0.0000 2.1872 3.7856 0.0000 0.0000 0.0000 7.0468" Properties=species:S:1:pos:R:3 comment="YCdB | Alexandria | GGA-PBE | optimized geometry" rho_g_cm3=6.040 spacegroup="P-6m2 (187)" volume_a3_per_fu=58.3 total_magnetization_mub_per_cell=0.00 crystal_system=hexagonal pbc="T T T"
Cd 4.9770 3.1987 3.8748
B 0.6047 0.6757 1.1574
B 0.6047 0.6757 2.9166
Cd 4.9770 3.1989 0.1991
Y 2.7910 1.9374 2.0370
Y 0.6039 0.6753 5.5604


#ii
6
Lattice="-0.6428 3.2626 0.0099 -3.1359 1.0777 -0.2486 0.8753 0.1377 11.8472" Properties=species:S:1:pos:R:3 comment="YCdB | Alexandria | GGA-PBE | optimized geometry" rho_g_cm3=6.276 spacegroup="R-3m (166)" volume_a3_per_fu=56.1 total_magnetization_mub_per_cell=0.00 crystal_system=trigonal pbc="T T T"
Y -0.2155 1.2928 0.8788
B -1.0570 1.0986 10.6914
Cd -0.6652 1.1896 6.1068
Y -2.1571 2.5823 8.7620
B -0.4403 2.9143 10.7967
Cd -1.7085 2.6842 3.5327


What are the relative energies? In eV/atom: #i 0.255; #ii 0.000.


#i
6
Lattice="3.2560 -0.0087 0.0016 -1.6145 5.4083 -0.0316 0.0036 2.3040 6.6902" Properties=species:S:1:pos:R:3 comment="YCdB | Alexandria | GGA-PBE | optimized geometry" rho_g_cm3=5.973 spacegroup="Cm (8)" volume_a3_per_fu=59.0 total_magnetization_mub_per_cell=0.00 crystal_system=monoclinic pbc="T T T"
B 0.9905 2.7947 1.6851
Cd 2.6158 2.8683 6.5077
B 2.6177 2.5044 1.2448
Cd 0.9908 2.3907 4.0361
Y 0.9965 5.4026 5.7947
Y -0.6325 4.9358 2.2972


#ii
6
Lattice="-2.6147 1.6871 -1.1848 -3.0761 -0.7734 1.0118 4.0330 8.4308 7.7791" Properties=species:S:1:pos:R:3 comment="YCdB | Alexandria | GGA-PBE | optimized geometry" rho_g_cm3=6.272 spacegroup="C2/m (12)" volume_a3_per_fu=56.2 total_magnetization_mub_per_cell=0.00 crystal_system=monoclinic pbc="T T T"
Cd -0.4298 2.6325 2.5571
B 0.1494 7.2766 7.8966
Y -4.4479 1.4447 0.3849
Y -0.7223 7.4333 5.3642
B 1.3279 8.3451 6.8164
Cd -2.1250 4.5604 4.3751


#iii
3
Lattice="-1.2799 1.5823 3.8235 -4.2232 0.4117 0.8692 -1.8777 -2.6080 2.9041" Properties=species:S:1:pos:R:3 comment="YCdB | Alexandria | GGA-PBE | optimized geometry" rho_g_cm3=6.130 spacegroup="F-43m (216)" volume_a3_per_fu=57.5 total_magnetization_mub_per_cell=0.00 crystal_system=cubic pbc="T T T"
Cd -5.5356 -0.4605 5.6976
B 0.0000 0.0000 0.0000
Y -1.8452 -0.1535 1.8992


#iv
6
Lattice="3.2073 0.0000 0.0000 0.0000 3.6095 0.0024 0.0000 -1.8104 9.6835" Properties=species:S:1:pos:R:3 comment="YCdB | Alexandria | GGA-PBE | optimized geometry" rho_g_cm3=6.284 spacegroup="Cmcm (63)" volume_a3_per_fu=56.1 total_magnetization_mub_per_cell=0.00 crystal_system=orthorhombic pbc="T T T"
Y 2.4083 0.6663 0.3792
B 0.8046 2.4722 1.7194
Cd 2.4085 2.4677 5.9146
Y 0.8047 0.6656 3.6066
B 2.4083 2.4693 2.2688
Cd 0.8048 0.6628 7.7570


What are the relative energies? In eV/atom: #i 0.297; #ii 0.047; #iii 0.328; #iv 0.000.


#i
6
Lattice="4.2109 0.0001 -0.0010 -0.0001 3.7288 0.0001 -1.1187 -0.0004 7.5526" Properties=species:S:1:pos:R:3 comment="YCdB | Alexandria | GGA-PBE | optimized geometry" rho_g_cm3=5.941 spacegroup="Pm (6)" volume_a3_per_fu=59.3 total_magnetization_mub_per_cell=0.00 crystal_system=monoclinic pbc="T T T"
B 0.9007 2.9371 0.9461
B 1.8042 2.9371 2.2598
Cd 3.0336 2.9372 0.0984
Y -0.2568 1.0726 2.5903
Y -0.1782 1.0723 6.4026
Cd 1.8908 2.9368 4.5762


#ii
12
Lattice="9.8105 0.0000 0.0000 0.0000 3.2055 0.0000 0.0000 0.0000 8.2404" Properties=species:S:1:pos:R:3 comment="YCdB | Alexandria | GGA-PBE | optimized geometry" rho_g_cm3=5.437 spacegroup="Pnma (62)" volume_a3_per_fu=64.8 total_magnetization_mub_per_cell=0.00 crystal_system=orthorhombic pbc="T T T"
Cd 2.4944 0.8014 4.6482
B 4.9052 1.6027 4.1202
Y 0.0344 0.8014 2.4934
Y 4.9397 0.8014 1.6268
B 4.9052 0.0000 4.1202
Y 9.7761 2.4041 5.7470
Cd 2.4109 2.4041 0.5280
Cd 7.3996 0.8014 7.7124
B 0.0000 0.0000 0.0000
Y 4.8708 2.4041 6.6136
B 0.0000 1.6027 0.0000
Cd 7.3161 2.4041 3.5922


What are the relative energies? In eV/atom: #i 0.000; #ii 0.120.


#i
6
Lattice="-0.3224 -3.1025 -2.2119 -2.1476 -0.5998 4.4190 -6.9136 -1.3113 -3.8204" Properties=species:S:1:pos:R:3 comment="YCdB | Alexandria | GGA-PBE | optimized geometry" rho_g_cm3=5.843 spacegroup="P-1 (2)" volume_a3_per_fu=60.3 total_magnetization_mub_per_cell=0.00 crystal_system=triclinic pbc="T T T"
Y -2.1347 -1.3798 3.0218
B -1.7264 -2.9891 -1.3615
Cd -6.2504 -2.0669 -2.0370
Y -3.3452 -1.1639 -0.3815
Cd -6.1429 -1.7875 0.8569
B -4.0761 -2.6570 1.7900


#ii
6
Lattice="0.0315 -2.2032 -3.3303 -0.9395 -1.6818 3.4979 -9.6361 2.1859 -1.5373" Properties=species:S:1:pos:R:3 comment="YCdB | Alexandria | GGA-PBE | optimized geometry" rho_g_cm3=5.101 spacegroup="P6_3/mmc (194)" volume_a3_per_fu=69.0 total_magnetization_mub_per_cell=0.00 crystal_system=hexagonal pbc="T T T"
Cd -3.0249 -1.3092 0.8375
Y 0.0000 0.0000 0.0000
B -2.4090 0.5465 -0.3843
B -7.2271 1.6394 -1.1530
Y -4.8181 1.0929 -0.7686
Cd -7.5193 -0.3900 -2.2072


#iii
6
Lattice="-1.5068 0.5783 -3.3647 -0.5085 -5.0811 1.4244 -6.0436 1.7811 0.9504" Properties=species:S:1:pos:R:3 comment="YCdB | Alexandria | GGA-PBE | optimized geometry" rho_g_cm3=6.247 spacegroup="C2/m (12)" volume_a3_per_fu=56.4 total_magnetization_mub_per_cell=0.00 crystal_system=monoclinic pbc="T T T"
Y -3.0886 -1.0853 -0.4567
Y -1.0086 -3.7047 0.2307
B -2.2803 -0.3053 -2.7527
Cd -6.1147 0.2516 -0.9381
B -3.3236 -3.9064 -0.8381
Cd -4.0265 -3.2604 1.6626


What are the relative energies? In eV/atom: #i 0.000; #ii 0.739; #iii 0.018.


#i
5
Lattice="-1.3406 -1.9866 4.0145 -0.7264 -4.0386 -2.2411 4.4199 -1.2663 0.8494" Properties=species:S:1:pos:R:3 comment="YCdB3 | Alexandria | GGA-PBE | optimized geometry" rho_g_cm3=3.798 spacegroup="Pm-3m (221)" volume_a3_per_fu=102.2 total_magnetization_mub_per_cell=0.00 crystal_system=cubic pbc="T T T"
Y 0.0000 0.0000 0.0000
B -0.3632 -2.0193 -1.1205
Cd 1.1764 -3.6457 1.3114
B 2.2099 -0.6332 0.4247
B -0.6703 -0.9933 2.0073


#ii
5
Lattice="-0.0931 3.2786 2.8677 -4.2825 -0.5926 0.5385 0.7953 -2.8073 3.2354" Properties=species:S:1:pos:R:3 comment="YCdB3 | Alexandria | GGA-PBE | optimized geometry" rho_g_cm3=4.694 spacegroup="Pm-3m (221)" volume_a3_per_fu=82.7 total_magnetization_mub_per_cell=0.00 crystal_system=cubic pbc="T T T"
B 0.3977 -1.4036 1.6177
B -2.1413 -0.2963 0.2693
B -0.0465 1.6393 1.4338
Cd 0.0000 0.0000 0.0000
Y -1.7901 -0.0607 3.3208


What are the relative energies? In eV/atom: #i 0.546; #ii 0.000.


#i
8
Lattice="4.7320 0.0000 0.0000 0.0000 4.7320 0.0000 2.3660 2.3660 6.6623" Properties=species:S:1:pos:R:3 comment="Zn2CdB | Alexandria | GGA-PBE | optimized geometry" rho_g_cm3=5.655 spacegroup="I-42d (122)" volume_a3_per_fu=74.6 total_magnetization_mub_per_cell=0.00 crystal_system=tetragonal pbc="T T T"
Cd 0.0000 0.0000 0.0000
Zn 3.5490 4.3115 4.9967
B 2.3660 4.7320 3.3311
B 2.3660 2.3660 0.0000
Zn 5.9150 5.1526 4.9967
Zn 2.7866 1.1830 1.6656
Zn 1.9454 3.5490 1.6656
Cd 4.7320 2.3660 3.3311


#ii
4
Lattice="0.0000 3.1370 3.1370 3.1370 0.0000 3.1370 3.1370 3.1370 0.0000" Properties=species:S:1:pos:R:3 comment="Zn2CdB | Alexandria | GGA-PBE | optimized geometry" rho_g_cm3=6.833 spacegroup="Fm-3m (225)" volume_a3_per_fu=61.7 total_magnetization_mub_per_cell=0.00 crystal_system=cubic pbc="T T T"
Zn 1.5685 1.5685 1.5685
Zn 4.7055 4.7055 4.7055
Cd 3.1370 3.1370 3.1370
B 0.0000 0.0000 0.0000


What are the relative energies? In eV/atom: #i 0.000; #ii 0.294.


#i
5
Lattice="-3.4106 0.0034 -3.6568 3.5692 -1.0847 -3.3299 -0.7955 -4.8814 0.7374" Properties=species:S:1:pos:R:3 comment="ZnCd3B | Alexandria | GGA-PBE | optimized geometry" rho_g_cm3=5.491 spacegroup="Pm-3m (221)" volume_a3_per_fu=125.0 total_magnetization_mub_per_cell=0.00 crystal_system=cubic pbc="T T T"
Cd -0.3978 -2.4407 0.3687
Cd -1.7053 0.0017 -1.8284
Zn 0.0000 0.0000 0.0000
Cd 1.7846 -0.5424 -1.6649
B -0.3184 -2.9813 -3.1246


#ii
5
Lattice="4.6472 0.0000 0.0000 0.0000 4.6472 0.0000 0.0000 0.0000 4.6472" Properties=species:S:1:pos:R:3 comment="ZnCd3B | Alexandria | GGA-PBE | optimized geometry" rho_g_cm3=6.841 spacegroup="Pm-3m (221)" volume_a3_per_fu=100.4 total_magnetization_mub_per_cell=0.00 crystal_system=cubic pbc="T T T"
Cd 0.0000 0.0000 2.3236
Cd 2.3236 0.0000 0.0000
Zn 2.3236 2.3236 2.3236
B 0.0000 0.0000 0.0000
Cd 0.0000 2.3236 0.0000


What are the relative energies? In eV/atom: #i 0.674; #ii 0.000.


#i
8
Lattice="-1.7778 -4.6658 0.9186 3.7709 -0.7857 3.3071 -2.9621 -0.2112 7.2242" Properties=species:S:1:pos:R:3 comment="ZnCd2B | Alexandria | GGA-PBE | optimized geometry" rho_g_cm3=5.592 spacegroup="I-42d (122)" volume_a3_per_fu=89.4 total_magnetization_mub_per_cell=0.00 crystal_system=tetragonal pbc="T T T"
Cd -1.1151 -2.2775 7.3177
Cd 1.2248 -1.5714 4.0753
Zn -1.8717 -3.8014 5.1278
B 0.9027 -1.8613 6.3221
B 0.9966 -2.7258 2.1128
Cd -0.8367 -4.8537 8.8007
Zn 0.0000 0.0000 0.0000
Cd -1.2110 -2.6228 2.7061


#ii
4
Lattice="0.2858 -4.1198 2.0153 -0.7404 -0.4044 4.5171 -3.8025 -2.0791 1.5279" Properties=species:S:1:pos:R:3 comment="ZnCd2B | Alexandria | GGA-PBE | optimized geometry" rho_g_cm3=7.286 spacegroup="Fm-3m (225)" volume_a3_per_fu=68.6 total_magnetization_mub_per_cell=0.00 crystal_system=cubic pbc="T T T"
Cd -3.1929 -4.9524 6.0452
B 0.0000 0.0000 0.0000
Cd -1.0643 -1.6508 2.0151
Zn -2.1286 -3.3016 4.0301


What are the relative energies? In eV/atom: #i 0.000; #ii 0.017.


#i
8
Lattice="-2.5694 2.2330 -1.4138 -2.4680 -1.3219 2.3975 -0.4796 6.1019 5.7041" Properties=species:S:1:pos:R:3 comment="ZnCdB2 | Alexandria | GGA-PBE | optimized geometry" rho_g_cm3=6.132 spacegroup="I4_1/amd (141)" volume_a3_per_fu=54.0 total_magnetization_mub_per_cell=0.00 crystal_system=tetragonal pbc="T T T"
B -2.8660 4.5874 5.2466
Zn -2.7332 2.6177 4.2967
B -4.1502 5.7042 4.5392
Cd 0.0000 0.0000 0.0000
Cd -2.7839 4.3952 2.3911
Zn -2.5187 0.4555 0.4919
B -1.3917 2.1974 1.1957
B -2.6262 1.5369 2.3942


#ii
4
Lattice="0.0000 2.9704 2.9704 2.9704 0.0000 2.9704 2.9704 2.9704 0.0000" Properties=species:S:1:pos:R:3 comment="ZnCdB2 | Alexandria | GGA-PBE | optimized geometry" rho_g_cm3=6.318 spacegroup="Fm-3m (225)" volume_a3_per_fu=52.4 total_magnetization_mub_per_cell=0.00 crystal_system=cubic pbc="T T T"
B 4.4556 4.4556 4.4556
Zn 0.0000 0.0000 0.0000
Cd 2.9704 2.9704 2.9704
B 1.4852 1.4852 1.4852


What are the relative energies? In eV/atom: #i 0.000; #ii 0.527.